[1]
Density functional theory data (GGA-PBEsol) for an optimized crystal structure of MnW.

For the formation energy, the calculation gives 0.82 eV/f.u.

Geometry as CIF:
```
data_MnW
_cell_length_a 2.6919
_cell_length_b 2.6919
_cell_length_c 8.5512
_cell_angle_alpha 90.00
_cell_angle_beta 90.00
_cell_angle_gamma 120.00
_space_group_name_H-M_alt 'P 1'
_space_group_IT_number 1
loop_
_space_group_symop_operation_xyz
'x,y,z'
loop_
_atom_site_label
_atom_site_fract_x
_atom_site_fract_y
_atom_site_fract_z
W1 0.6667 0.3333 0.6445
Mn1 0.6667 0.3333 0.0994
Mn2 0.3333 0.6667 0.9006
W2 0.3333 0.6667 0.3555
```


[2]
Density functional theory data (GGA-PBEsol) for an optimized crystal structure of HfAlInF2.

The formation energy (no corrections) is -7.51 eV/f.u.

Geometry as CIF:
```
data_HfAlInF2
_cell_length_a 4.0710
_cell_length_b 4.0710
_cell_length_c 5.9299
_cell_angle_alpha 90.00
_cell_angle_beta 90.00
_cell_angle_gamma 90.00
_space_group_name_H-M_alt 'P 1'
_space_group_IT_number 1
loop_
_space_group_symop_operation_xyz
'x,y,z'
loop_
_atom_site_label
_atom_site_fract_x
_atom_site_fract_y
_atom_site_fract_z
Hf1 0.0000 0.0000 0.0000
Al1 0.5000 0.5000 0.5000
F1 0.0000 0.5000 0.0000
F2 0.5000 0.0000 0.0000
In1 0.0000 0.0000 0.5000
```


[3]
Density functional theory data (GGA-PBEsol) for an optimized crystal structure of CaYBO4.

The formation energy (no corrections) is -22.19 eV/f.u.

Geometry as CIF:
```
data_CaYBO4
_cell_length_a 3.5611
_cell_length_b 9.5668
_cell_length_c 10.4004
_cell_angle_alpha 90.00
_cell_angle_beta 90.00
_cell_angle_gamma 90.00
_space_group_name_H-M_alt 'P 1'
_space_group_IT_number 1
loop_
_space_group_symop_operation_xyz
'x,y,z'
loop_
_atom_site_label
_atom_site_fract_x
_atom_site_fract_y
_atom_site_fract_z
O1 0.7500 0.7512 0.7227
Y1 0.2500 0.0881 0.1118
O2 0.7500 0.8499 0.4328
B1 0.7500 0.8680 0.2996
B2 0.7500 0.6320 0.7996
Y2 0.2500 0.4119 0.6118
Ca1 0.2500 0.6700 0.0836
O3 0.2500 0.6141 0.5071
Ca2 0.2500 0.8300 0.5836
O4 0.7500 0.7488 0.2227
O5 0.2500 0.3499 0.0672
O6 0.2500 0.2488 0.2773
Ca3 0.7500 0.3300 0.9164
O7 0.2500 0.9988 0.7521
O8 0.7500 0.3859 0.4929
B3 0.2500 0.1320 0.7004
O9 0.2500 0.5012 0.2521
O10 0.2500 0.2512 0.7773
O11 0.7500 0.1141 0.9929
O12 0.2500 0.8859 0.0071
O13 0.2500 0.1501 0.5672
O14 0.7500 0.4988 0.7479
Y3 0.7500 0.9119 0.8882
O15 0.7500 0.0012 0.2479
O16 0.7500 0.6501 0.9328
Y4 0.7500 0.5881 0.3882
Ca4 0.7500 0.1700 0.4164
B4 0.2500 0.3680 0.2004
```


[4]
Density functional theory data (GGA-PBEsol) for an optimized crystal structure of BeAlMo.

For the formation energy, the calculation gives 0.69 eV/f.u.

Geometry as CIF:
```
data_BeAlMo
_cell_length_a 2.7471
_cell_length_b 2.7471
_cell_length_c 6.2653
_cell_angle_alpha 90.00
_cell_angle_beta 90.00
_cell_angle_gamma 120.00
_space_group_name_H-M_alt 'P 1'
_space_group_IT_number 1
loop_
_space_group_symop_operation_xyz
'x,y,z'
loop_
_atom_site_label
_atom_site_fract_x
_atom_site_fract_y
_atom_site_fract_z
Mo1 0.3333 0.6667 0.3471
Al1 0.0000 0.0000 0.9882
Be1 0.6667 0.3333 0.6647
```


[5]
Density functional theory data (GGA-PBEsol) for an optimized crystal structure of SiIrSe2.

The formation energy (no corrections) is 1.14 eV/f.u.

Geometry as CIF:
```
data_SiIrSe2
_cell_length_a 5.5102
_cell_length_b 5.5102
_cell_length_c 6.9572
_cell_angle_alpha 113.33
_cell_angle_beta 113.33
_cell_angle_gamma 90.00
_space_group_name_H-M_alt 'P 1'
_space_group_IT_number 1
loop_
_space_group_symop_operation_xyz
'x,y,z'
loop_
_atom_site_label
_atom_site_fract_x
_atom_site_fract_y
_atom_site_fract_z
Si1 0.7500 0.2500 0.5000
Se1 0.6250 0.6376 0.7500
Ir1 0.0000 0.0000 0.0000
Se2 0.3624 0.8750 0.2500
Si2 0.5000 0.5000 0.0000
Ir2 0.2500 0.7500 0.5000
Se3 0.8876 0.3750 0.2500
Se4 0.1250 0.1124 0.7500
```


[6]
Density functional theory data (GGA-PBEsol) for an optimized crystal structure of SnBiNF2.

The formation energy (no corrections) is -3.33 eV/f.u.

Geometry as CIF:
```
data_SnBiNF2
_cell_length_a 4.1382
_cell_length_b 4.3672
_cell_length_c 4.3672
_cell_angle_alpha 90.00
_cell_angle_beta 90.00
_cell_angle_gamma 90.00
_space_group_name_H-M_alt 'P 1'
_space_group_IT_number 1
loop_
_space_group_symop_operation_xyz
'x,y,z'
loop_
_atom_site_label
_atom_site_fract_x
_atom_site_fract_y
_atom_site_fract_z
N1 0.5000 0.0000 0.0000
Bi1 0.5000 0.5000 0.5000
F1 0.0000 0.5000 0.0000
Sn1 0.0000 0.0000 0.0000
F2 0.0000 0.0000 0.5000
```


[7]
Density functional theory data (GGA-PBEsol) for an optimized crystal structure of Y3HgN.

The formation energy (no corrections) is -5.51 eV/f.u.

Geometry as CIF:
```
data_Y3HgN
_cell_length_a 6.6918
_cell_length_b 6.6918
_cell_length_c 6.6918
_cell_angle_alpha 90.31
_cell_angle_beta 119.70
_cell_angle_gamma 119.94
_space_group_name_H-M_alt 'P 1'
_space_group_IT_number 1
loop_
_space_group_symop_operation_xyz
'x,y,z'
loop_
_atom_site_label
_atom_site_fract_x
_atom_site_fract_y
_atom_site_fract_z
Y1 0.4349 0.6849 0.2500
Y2 0.0000 0.7830 0.2830
Y3 0.0000 0.2170 0.7170
N1 0.5000 0.5000 0.0000
Y4 0.5651 0.3151 0.7500
Hg1 0.9937 0.2437 0.2500
N2 0.5000 0.0000 0.5000
Y5 0.5000 0.2170 0.2170
Y6 0.5000 0.7830 0.7830
Hg2 0.0063 0.7563 0.7500
```


[8]
Density functional theory data (GGA-PBEsol) for an optimized crystal structure of YHf2Sb2.

The formation energy (no corrections) is -2.63 eV/f.u.

Geometry as CIF:
```
data_YHf2Sb2
_cell_length_a 4.1993
_cell_length_b 4.1993
_cell_length_c 7.4507
_cell_angle_alpha 106.37
_cell_angle_beta 106.37
_cell_angle_gamma 90.00
_space_group_name_H-M_alt 'P 1'
_space_group_IT_number 1
loop_
_space_group_symop_operation_xyz
'x,y,z'
loop_
_atom_site_label
_atom_site_fract_x
_atom_site_fract_y
_atom_site_fract_z
Y1 0.0000 0.0000 0.0000
Sb1 0.6061 0.6061 0.2123
Hf1 0.7500 0.2500 0.5000
Sb2 0.3939 0.3939 0.7877
Hf2 0.2500 0.7500 0.5000
```